Record 1
The following is a DFT calculation (PBE) of AcTbU2O8 after structural relaxation.

The structure in POSCAR format:
```
AcTbU2O8
1.0
6.504 0.342 0.000
-2.578 5.981 0.000
-1.963 -3.162 5.345
O Ac U Tb
8 1 2 1
Direct
0.942 0.250 0.308
0.367 0.058 0.308
0.533 0.706 0.827
0.942 0.633 0.692
0.294 0.467 0.173
0.879 0.706 0.173
0.294 0.121 0.827
0.750 0.058 0.692
0.250 0.750 0.500
0.500 0.500 0.000
0.750 0.250 0.500
0.000 0.000 0.000
```

Computed properties:
E_form (uncorrected) (kJ/mol of atoms): -297.3
Space-group type: No. 119
Crystal system: tetragonal
DOS(E_F) (states/eV/cell): 9.93

=====

Record 2
The following is a DFT calculation (PBE) of AcTbUO6 after structural relaxation.

The structure in POSCAR format:
```
AcTbUO6
1.0
-0.414 1.876 -5.569
-3.451 -4.380 1.897
-7.096 6.813 2.823
Tb O U Ac
2 12 2 2
Direct
0.333 0.667 0.250
0.667 0.333 0.750
0.652 0.628 0.141
0.024 0.652 0.859
0.372 0.348 0.359
0.628 0.976 0.859
0.348 0.372 0.859
0.024 0.372 0.641
0.652 0.024 0.359
0.628 0.652 0.641
0.348 0.976 0.641
0.976 0.628 0.359
0.976 0.348 0.141
0.372 0.024 0.141
0.333 0.667 0.750
0.667 0.333 0.250
0.000 0.000 0.000
0.000 0.000 0.500
```

Computed properties:
E_form (uncorrected) (kJ/mol of atoms): -326.4
Space-group type: No. 163
Crystal system: trigonal
DOS(E_F) (states/eV/cell): 0.00